Record 1
DFT (PBE) results for an optimized crystal structure of BAsIrAu2.

The structure in extended XYZ format:
```
5
Lattice="4.4271 0.0000 0.0000 0.0000 4.1486 0.0000 0.0000 0.0000 4.4271" Properties=species:S:1:pos:R:3 pbc="T T T"
As 2.2135 2.0743 2.2135
Ir 0.0000 2.0743 0.0000
Au 0.0000 0.0000 2.2135
Au 2.2135 0.0000 0.0000
B 0.0000 0.0000 0.0000
```

Properties
Total magnetic moment (Bohr magnetons per cell): 0.00
Formation energy from the elements (eV/atom): 0.439
Space-group type: P4/mmm, No. 123

=====

Record 2
DFT (PBE) results for an optimized crystal structure of BAs2RuAu.

The structure in extended XYZ format:
```
5
Lattice="4.6107 0.0000 0.0000 0.0000 5.3076 0.0000 0.0000 0.0000 4.6107" Properties=species:S:1:pos:R:3 pbc="T T T"
Ru 0.0000 0.0000 0.0000
As 0.0000 0.0000 2.3054
As 2.3054 0.0000 0.0000
B 2.3054 2.6538 2.3054
Au 0.0000 2.6538 0.0000
```

Properties
Total magnetic moment (Bohr magnetons per cell): 0.00
Formation energy from the elements (eV/atom): 1.275
Space-group type: P4/mmm, No. 123

=====

Record 3
DFT (PBE) results for an optimized crystal structure of BSbAsAu2.

The structure in extended XYZ format:
```
5
Lattice="-3.1698 -3.1442 2.7945 3.4268 -1.4180 2.2917 -0.7439 3.8629 3.5025" Properties=species:S:1:pos:R:3 pbc="T T T"
Sb 0.0000 0.0000 0.0000
As -0.2434 -0.3496 4.2944
B 1.7134 -0.7090 1.1458
Au -0.3719 1.9315 1.7513
Au -1.5849 -1.5721 1.3973
```

Properties
Total magnetic moment (Bohr magnetons per cell): 0.00
Uncorrected formation energy (eV per atom): 1.271
Space-group type: P4/mmm, No. 123

=====

Record 4
DFT (PBE) results for an optimized crystal structure of BAs2AuSe.

The structure in extended XYZ format:
```
5
Lattice="4.4488 0.0000 0.0000 0.0000 4.4488 0.0000 0.0000 0.0000 4.4253" Properties=species:S:1:pos:R:3 pbc="T T T"
As 0.0000 2.2244 0.0000
As 2.2244 0.0000 0.0000
B 0.0000 0.0000 0.0000
Au 2.2244 2.2244 2.2126
Se 0.0000 0.0000 2.2126
```

Properties
E above lowest polymorph (eV/atom): 0.000
Total magnetic moment (Bohr magnetons per cell): 0.00
Uncorrected formation energy (eV per atom): 0.784
Space-group type: P4/mmm, No. 123

=====

Record 5
DFT (PBE) results for an optimized crystal structure of BAs2AuSe.

The structure in extended XYZ format:
```
5
Lattice="5.0037 0.0000 0.0000 0.0000 5.0037 0.0000 0.0000 0.0000 5.2374" Properties=species:S:1:pos:R:3 pbc="T T T"
As 0.0000 2.5019 0.0000
As 2.5019 0.0000 0.0000
B 2.5019 2.5019 2.6187
Au 0.0000 0.0000 0.0000
Se 0.0000 0.0000 2.6187
```

Properties
E above lowest polymorph (eV/atom): 0.843
Total magnetic moment (Bohr magnetons per cell): 0.45
Uncorrected formation energy (eV per atom): 1.628
Space-group type: P4/mmm, No. 123

=====

Record 6
DFT (PBE) results for an optimized crystal structure of TiBAsAu2.

The structure in extended XYZ format:
```
5
Lattice="-1.8144 -3.6695 0.9560 2.0363 0.1601 4.4790 -3.3698 2.0463 1.4588" Properties=species:S:1:pos:R:3 pbc="T T T"
As 1.0181 0.0801 2.2395
B 0.0000 0.0000 0.0000
Au -1.6849 1.0231 0.7294
Au -0.9072 -1.8347 0.4780
Ti -1.5740 -0.7316 3.4470
```

Properties
Total magnetic moment (Bohr magnetons per cell): 0.00
Formation energy from the elements (eV/atom): 0.381
Space-group type: P4/mmm, No. 123

=====

Record 7
DFT (PBE) results for an optimized crystal structure of BaAs2Au.

The structure in extended XYZ format:
```
4
Lattice="-1.2996 -3.5781 1.8536 -1.8288 -1.5404 -4.2558 4.9520 -2.4837 -1.3223" Properties=species:S:1:pos:R:3 pbc="T T T"
As 4.4231 -2.8097 -2.3224
As 2.0905 -1.6861 -1.7890
Au 0.1310 -2.7951 -0.4678
Ba 1.6926 -4.8071 -3.2568
```

Properties
Total magnetic moment (Bohr magnetons per cell): 0.00
Formation energy from the elements (eV/atom): -0.597
Space-group type: P2/m, No. 10

=====

Record 8
DFT (PBE) results for an optimized crystal structure of BaAs2Au.

The structure in extended XYZ format:
```
8
Lattice="-3.8959 -2.6859 1.8414 2.4768 -0.5798 4.3946 -4.5126 6.0477 6.2748" Properties=species:S:1:pos:R:3 pbc="T T T"
As -3.8507 -0.6510 3.5512
As -3.3659 -1.4604 6.1047
As -4.2963 3.4000 6.3710
As -6.7233 2.1692 6.4416
Au 0.0000 0.0000 0.0000
Au -4.5590 0.8645 5.6171
Ba -0.7095 -1.6329 3.1180
Ba -1.3726 1.9175 6.8937
```

Properties
Total magnetic moment (Bohr magnetons per cell): 0.00
Formation energy from the elements (eV/atom): -0.516
Space-group type: I-42d, No. 122